Record 1
DFT (PBE) results for crystalline KRe2Hg at its relaxed geometry.

Unit cell a=5.1840 b=3.9042 c=3.9042 alpha=90.00 beta=90.00 gamma=90.00
With the nearest neighbours (Å) after each atom.
Sites, in units of the cell vectors:
Re  0.0000  0.5000  0.5000  4 Re 2.76
K  0.5000  0.0000  0.5000  4 Hg 2.76
Hg  0.5000  0.5000  0.0000  4 K 2.76
Re  0.0000  0.0000  0.0000  4 Re 2.76

Summary:
- DOS at the Fermi energy: 1.17 states/eV per atom
- DFT formation energy: 1595 meV per atom
- Space group: P4/mmm (123)
- Volume: 19.75 A^3/atom
- Final energy: -19.916 eV/cell


Record 2
DFT (PBE) results for crystalline KRe2Hg at its relaxed geometry.

Unit cell a=2.8204 b=2.8204 c=10.7874 alpha=90.00 beta=90.00 gamma=114.50
With the nearest neighbours (Å) after each atom.
Sites, in units of the cell vectors:
Hg  0.0000  0.0000  0.4767  6 Hg 2.82-3.05, 2 Re 3.09
Re  0.5000  0.5000  0.2280  6 Re 2.59-2.82
Re  0.0000  0.0000  0.0343  6 Re 2.59-2.82
K  0.5000  0.5000  0.7610  6 K 2.82-3.05

Summary:
- DOS at the Fermi energy: 0.78 states/eV per atom
- DFT formation energy: 810 meV per atom
- Space group: Cmm2 (35)
- Volume: 19.52 A^3/atom
- Final energy: -23.056 eV/cell


Record 3
DFT (PBE) results for crystalline KRe2Hg at its relaxed geometry.

Unit cell a=2.7932 b=4.9568 c=5.6075 alpha=90.00 beta=90.00 gamma=90.00
With the nearest neighbours (Å) after each atom.
Sites, in units of the cell vectors:
Hg  0.5000  0.0000  0.5000  2 Hg 2.79, 4 K 2.84
K  0.0000  0.5000  0.5000  2 K 2.79, 4 Hg 2.84
Re  0.5000  0.5000  0.0000  6 Re 2.79-2.84
Re  0.0000  0.0000  0.0000  6 Re 2.79-2.84

Summary:
- DOS at the Fermi energy: 0.92 states/eV per atom
- DFT formation energy: 1314 meV per atom
- Space group: Pmmm (47)
- Volume: 19.41 A^3/atom
- Final energy: -21.038 eV/cell